Entry 1:
An optimized crystal structure of Pm6NiC2Cl3, computed with PBE.

The density of states at the Fermi level comes out at 7.17 states/eV/cell. The space-group type is C2/m, No. 12. The total energy is -5.82 eV per atom.

POSCAR file:
```
Pm6NiC2Cl3
1.0
9.0591 -1.8929 0.0000
9.0591 1.8929 0.0000
-2.6278 0.0000 8.0072
Pm Ni C Cl
6 1 2 3
direct
0.0222 0.0222 0.2380
0.3198 0.3198 0.4497
0.3335 0.3335 0.8709
0.6665 0.6665 0.1291
0.6802 0.6802 0.5503
0.9778 0.9778 0.7620
0.5000 0.5000 0.0000
0.1722 0.1722 0.3355
0.8278 0.8278 0.6645
0.1653 0.1653 0.8226
0.5000 0.5000 0.5000
0.8347 0.8347 0.1774
```



Entry 2:
An optimized crystal structure of Pr8Ni3CCl4, computed with PBE.

The density of states at the Fermi level comes out at 15.52 states/eV/cell. The space-group type is C2/m, No. 12. The total energy is -5.38 eV per atom.

POSCAR file:
```
Pr8Ni3CCl4
1.0
6.9893 -4.0122 0.0000
6.9893 4.0122 0.0000
-4.6531 0.0000 7.3716
Pr Ni C Cl
8 3 1 4
direct
0.2259 0.2259 0.7002
0.2262 0.7506 0.7009
0.2494 0.7738 0.2991
0.2642 0.2642 0.2950
0.7358 0.7358 0.7050
0.7506 0.2262 0.7009
0.7738 0.2494 0.2991
0.7741 0.7741 0.2998
0.0000 0.5000 0.5000
0.5000 0.0000 0.5000
0.5000 0.5000 0.5000
0.0000 0.0000 0.5000
0.0000 0.0000 0.0000
0.0000 0.5000 0.0000
0.5000 0.0000 0.0000
0.5000 0.5000 0.0000
```



Entry 3:
An optimized crystal structure of Pr4NiCCl2, computed with PBE.

The density of states at the Fermi level comes out at 5.65 states/eV/cell. The space-group type is P2/m, No. 10. The total energy is -5.61 eV per atom.

POSCAR file:
```
Pr4NiCCl2
1.0
7.1419 0.0000 0.0000
0.0000 3.8424 0.0000
-2.2828 0.0000 7.1840
Pr Ni C Cl
4 1 1 2
direct
0.2096 0.0000 0.2007
0.2576 0.5000 0.7996
0.7424 0.5000 0.2004
0.7904 0.0000 0.7993
0.5000 0.0000 0.0000
0.0000 0.5000 0.0000
0.0000 0.0000 0.5000
0.5000 0.5000 0.5000
```